(1)
Entry from OQMD: a relaxed ErBr4 crystal (GGA-PBE).

Space-group type: C2/m, No. 12
V, Å³ per cell: 391
Raw total energy, eV per atom: -3.711

Unit cell a=7.089 b=7.089 c=8.920 alpha=93.59 beta=93.59 gamma=118.54
Fractional coordinates of all 10 atoms:
Br 0.902 0.902 0.182
Br 0.521 0.157 0.182
Br 0.157 0.521 0.182
Br 0.637 0.637 0.443
Br 0.363 0.363 0.557
Br 0.843 0.479 0.818
Br 0.479 0.843 0.818
Br 0.098 0.098 0.818
Er 0.828 0.172 0.000
Er 0.172 0.828 0.000


(2)
Entry from OQMD: a relaxed Sc4Nb2S3N3 crystal (GGA-PBE).

Space-group type: C2/c, No. 15
V, Å³ per cell: 334
Raw total energy, eV per atom: -8.518

Unit cell a=5.740 b=5.740 c=12.129 alpha=103.51 beta=103.51 gamma=60.30
Fractional coordinates of all 24 atoms:
N 0.000 0.500 0.000
N 0.325 0.849 0.000
N 0.151 0.675 0.500
N 0.500 0.000 0.500
N 0.849 0.325 0.500
N 0.675 0.151 0.000
Nb 0.370 0.530 0.091
Nb 0.470 0.630 0.409
Nb 0.530 0.370 0.591
Nb 0.630 0.470 0.909
S 0.418 0.261 0.249
S 0.096 0.904 0.250
S 0.739 0.582 0.251
S 0.261 0.418 0.749
S 0.904 0.096 0.750
S 0.582 0.739 0.751
Sc 0.700 0.865 0.101
Sc 0.031 0.202 0.101
Sc 0.798 0.969 0.399
Sc 0.135 0.300 0.399
Sc 0.865 0.700 0.601
Sc 0.202 0.031 0.601
Sc 0.969 0.798 0.899
Sc 0.300 0.135 0.899


(3)
Entry from OQMD: a relaxed KMgTeIr crystal (GGA-PBE).

Excess energy over the best structure of this formula in the dataset, eV/f.u.: 0.000
Space-group type: F-43m, No. 216
V, Å³ per cell: 84
Raw total energy, eV per atom: -3.509

Unit cell a=4.917 b=4.917 c=4.917 alpha=60.00 beta=60.00 gamma=60.00
Fractional coordinates of all 4 atoms:
Ir 0.500 0.500 0.500
K 0.000 0.000 0.000
Mg 0.750 0.750 0.750
Te 0.250 0.250 0.250